## PmErPt2 (PBE)

Data for an optimized crystal structure of PmErPt2.

Its final energy is -6.503 eV/atom. For the total moment, the calculation gives 0.0 Bohr magnetons per cell. The energy above the most stable polymorph in this dataset is 80 meV per atom.

The structure belongs to space group Fm-3m (No. 225); the cell edges are 7.0584, 7.0584 and 7.0584 Å and the angles 90.00°, 90.00° and 90.00°. The inequivalent atoms are Pm at (0.0000, 0.0000, 0.0000), Er at (0.0000, 0.0000, 0.5000) and Pt at (0.2500, 0.2500, 0.2500).



## Pm3ErPt2 (PBE)

Data for an optimized crystal structure of Pm3ErPt2.

Its final energy is -5.931 eV/atom. For the total moment, the calculation gives 0.0 Bohr magnetons per cell. The energy above the most stable polymorph in this dataset is 77 meV per atom.

The structure belongs to space group Ibam (No. 72); the cell edges are 6.9951, 13.9172 and 7.2626 Å and the angles 90.00°, 90.00° and 90.00°. The inequivalent atoms are Pm at (0.0000, 0.0000, 0.2500), Pm at (0.0000, 0.2661, 0.2500), Er at (0.0000, 0.5000, 0.0000) and Pt at (0.2134, 0.1378, 0.0000).



## PmEr2Pt (PBE)

Data for an optimized crystal structure of PmEr2Pt.

Its final energy is -5.659 eV/atom. For the total moment, the calculation gives 0.0 Bohr magnetons per cell. The energy above the most stable polymorph in this dataset is 28 meV per atom.

The structure belongs to space group P2_1/m (No. 11); the cell edges are 3.7963, 9.1353 and 6.5172 Å and the angles 90.00°, 106.84° and 90.00°. The inequivalent atoms are Pm at (0.0604, 0.2500, 0.1221), Er at (0.3611, 0.0614, 0.7216) and Pt at (0.2386, 0.7500, 0.4783).



## PmEr2Pt9 (PBE)

Data for an optimized crystal structure of PmEr2Pt9.

Its final energy is -6.644 eV/atom. For the total moment, the calculation gives 0.0 Bohr magnetons per cell.

The structure belongs to space group R-3m (No. 166, hexagonal axes); the cell edges are 5.4192, 5.4192 and 26.4641 Å and the angles 90.00°, 90.00° and 120.00°. The inequivalent atoms are Pm at (0.0000, 0.0000, 0.0000), Er at (0.0000, 0.0000, 0.1398), Pt at (0.0000, 0.0000, 0.3332), Pt at (0.0000, 0.0000, 0.5000) and Pt at (0.0051, 0.5025, 0.9141).



## Pm2ErPt2 (PBE)

Data for an optimized crystal structure of Pm2ErPt2.

Its final energy is -6.150 eV/atom. For the total moment, the calculation gives 0.0 Bohr magnetons per cell. The energy above the most stable polymorph in this dataset is 79 meV per atom.

The structure belongs to space group Ibam (No. 72); the cell edges are 8.0797, 10.8171 and 6.2176 Å and the angles 90.00°, 90.00° and 90.00°. The inequivalent atoms are Pm at (0.1368, 0.1545, 0.0000), Er at (0.0000, 0.5000, 0.2500) and Pt at (0.2321, 0.1020, 0.5000).



## PmEr5Pt4 (PBE)

Data for an optimized crystal structure of PmEr5Pt4.

Its final energy is -6.178 eV/atom. For the total moment, the calculation gives 0.0 Bohr magnetons per cell.

The structure belongs to space group C2/m (No. 12); the cell edges are 18.3336, 4.2312 and 7.6099 Å and the angles 90.00°, 114.39° and 90.00°. The inequivalent atoms are Pm at (0.0000, 0.0000, 0.0000), Er at (0.0000, 0.0000, 0.5000), Er at (0.1657, 0.5000, 0.4069), Er at (0.1657, 0.5000, 0.9243), Pt at (0.0000, 0.5000, 0.2646) and Pt at (0.2045, 0.0000, 0.2044).



## Pm3ErPt2 (PBE)

Data for an optimized crystal structure of Pm3ErPt2.

Its final energy is -6.009 eV/atom. For the total moment, the calculation gives 0.0 Bohr magnetons per cell. The energy above the most stable polymorph in this dataset is 0 meV per atom.

The structure belongs to space group Pmc2_1 (No. 26); the cell edges are 4.8494, 9.0461 and 7.2804 Å and the angles 90.00°, 90.00° and 90.00°. The inequivalent atoms are Pm at (0.0000, 0.0859, 0.0000), Pm at (0.0000, 0.3388, 0.3613), Pm at (0.5000, 0.1671, 0.6502), Er at (0.5000, 0.4135, 0.0116), Pt at (0.0000, 0.3443, 0.7707) and Pt at (0.5000, 0.1638, 0.2437).



## Pm2Er3Pt4 (PBE)

Data for an optimized crystal structure of Pm2Er3Pt4.

Its final energy is -6.441 eV/atom. For the total moment, the calculation gives 0.0 Bohr magnetons per cell. The energy above the most stable polymorph in this dataset is 0 meV per atom.

The structure belongs to space group P2_1/c (No. 14); the cell edges are 7.6135, 7.6499 and 7.7340 Å and the angles 90.00°, 109.57° and 90.00°. The inequivalent atoms are Pm at (0.1957, 0.1775, 0.0786), Er at (0.2451, 0.6641, 0.2478), Er at (0.5000, 0.0000, 0.5000), Pt at (0.0900, 0.5385, 0.8596) and Pt at (0.4968, 0.1347, 0.8703).



no.,ρ (g/cm³),ΔE_f (eV per atom),DOS at the Fermi energy (states/eV/f.u.)
1,13.3,-1.15,3.32
2,9.3,-0.78,5.93
3,10.4,-0.68,4.42
4,16.5,-0.96,9.52
5,10.4,-0.92,3.95
6,10.9,-1.01,5.35
7,10.3,-0.86,6.07
8,12.3,-1.18,5.45